Entry 1:
LiGaN: relaxed, PBE.

a b c (Å): 5.171 4.635 6.035
angles (deg): 90.00 93.67 90.00
Sites, in units of the cell vectors:
1 Li 0.089 0.209 0.127
2 Li 0.089 0.291 0.627
3 Li 0.911 0.709 0.373
4 Li 0.911 0.791 0.873
5 Ga 0.435 0.720 0.091
6 Ga 0.435 0.780 0.591
7 Ga 0.565 0.220 0.409
8 Ga 0.565 0.280 0.909
9 N 0.264 0.520 0.351
10 N 0.264 0.980 0.851
11 N 0.736 0.020 0.149
12 N 0.736 0.480 0.649

Properties
Polymorph energy (0 for the lowest one): 0 kJ/mol of formula units
Density: 4.17 Mg/m³
Density of states at the Fermi level: 0.3 states/eV per cell
Space group: No. 14
V: 144 Å³ per cell
Formation energy without anion corrections: -0.250 eV per atom

---

Entry 2:
LiGaN3: relaxed, PBE.

a b c (Å): 3.933 3.933 3.933
angles (deg): 90.00 90.00 90.00
Sites, in units of the cell vectors:
1 Li 0.000 0.000 0.000
2 Ga 0.500 0.500 0.500
3 N 0.000 0.500 0.500
4 N 0.500 0.000 0.500
5 N 0.500 0.500 0.000

Properties
Density: 3.24 Mg/m³
Density of states at the Fermi level: 2.8 states/eV per cell
Space group: No. 221
V: 61 Å³ per cell
Formation energy without anion corrections: 1.427 eV per atom

---

Entry 3:
Li4Ga2N: relaxed, PBE.

a b c (Å): 3.737 3.737 16.598
angles (deg): 90.00 90.00 90.00
Sites, in units of the cell vectors:
1 Li 0.000 0.000 0.117
2 Li 0.000 0.000 0.883
3 Li 0.000 0.500 0.000
4 Li 0.000 0.500 0.500
5 Li 0.500 0.000 0.000
6 Li 0.500 0.000 0.500
7 Li 0.500 0.500 0.383
8 Li 0.500 0.500 0.617
9 Ga 0.000 0.000 0.286
10 Ga 0.000 0.000 0.714
11 Ga 0.500 0.500 0.214
12 Ga 0.500 0.500 0.786
13 N 0.000 0.000 0.000
14 N 0.500 0.500 0.500

Properties
Density: 2.60 Mg/m³
Density of states at the Fermi level: 4.8 states/eV per cell
Space group: No. 139
V: 232 Å³ per cell
Formation energy without anion corrections: -0.208 eV per atom

---

Entry 4:
Li4GaN2: relaxed, PBE.

a b c (Å): 6.788 6.788 6.788
angles (deg): 31.10 31.10 31.10
Sites, in units of the cell vectors:
1 Li 0.084 0.084 0.084
2 Li 0.298 0.298 0.298
3 Li 0.702 0.702 0.702
4 Li 0.916 0.916 0.916
5 Ga 0.500 0.500 0.500
6 N 0.403 0.403 0.403
7 N 0.597 0.597 0.597

Properties
Density: 2.82 Mg/m³
Density of states at the Fermi level: 2.6 states/eV per cell
Space group: No. 166
V: 74 Å³ per cell
Formation energy without anion corrections: -0.335 eV per atom